Entry 1:
Computed, not measured: Er2Tl3GeSe6 after structural relaxation at the PBE-GGA level of DFT.

Properties
E_tot: -4.463 eV/atom
Formation energy (no corrections): -0.9843 eV per atom

abc: 4.098 8.990 9.891
angles: 109.00 101.96 90.00
Atoms (fractional coordinates):
Se 0.008 0.220 0.017
Se 0.653 0.109 0.306
Se 0.323 0.438 0.645
Se 0.992 0.780 0.983
Se 0.677 0.562 0.355
Se 0.347 0.891 0.694
Tl 0.500 0.500 0.000
Tl 0.168 0.841 0.336
Tl 0.832 0.159 0.664
Ge 0.500 0.000 0.000
Er 0.165 0.335 0.331
Er 0.835 0.665 0.669

---

Entry 2:
Computed, not measured: Er4TlGeSe2 after structural relaxation at the PBE-GGA level of DFT.

Properties
E_tot: -5.154 eV/atom
Formation energy (no corrections): -1.1284 eV per atom

abc: 5.870 5.870 7.194
angles: 114.08 114.08 90.00
Atoms (fractional coordinates):
Er 0.242 0.242 0.484
Er 0.503 0.003 0.006
Er 0.758 0.758 0.516
Er 0.997 0.497 0.994
Se 0.250 0.750 0.500
Se 0.000 0.000 0.000
Tl 0.500 0.500 0.000
Ge 0.750 0.250 0.500

---

Entry 3:
Computed, not measured: YErGeSe after structural relaxation at the PBE-GGA level of DFT.

Properties
E_tot: -6.168 eV/atom
Formation energy (no corrections): -1.3860 eV per atom

abc: 4.113 4.113 7.172
angles: 73.33 73.33 60.00
Atoms (fractional coordinates):
Se 0.445 0.445 0.664
Er 0.199 0.199 0.404
Y 0.690 0.690 0.931
Ge 0.943 0.943 0.171

---

Entry 4:
Computed, not measured: Er3Si2Ge after structural relaxation at the PBE-GGA level of DFT.

Properties
E_tot: -5.525 eV/atom
Formation energy (no corrections): -0.6664 eV per atom

abc: 4.067 11.358 11.397
angles: 90.00 90.00 90.00
Atoms (fractional coordinates):
Er 0.250 0.440 0.380
Er 0.250 0.121 0.555
Er 0.250 0.800 0.704
Er 0.750 0.200 0.296
Er 0.750 0.560 0.620
Er 0.250 0.060 0.880
Er 0.750 0.621 0.945
Er 0.750 0.940 0.120
Er 0.250 0.700 0.204
Er 0.750 0.879 0.445
Er 0.250 0.379 0.055
Er 0.750 0.300 0.796
Si 0.250 0.998 0.312
Si 0.750 0.498 0.188
Si 0.250 0.808 0.984
Si 0.750 0.002 0.688
Si 0.250 0.692 0.484
Si 0.750 0.308 0.516
Si 0.250 0.502 0.812
Si 0.750 0.192 0.016
Ge 0.750 0.629 0.368
Ge 0.750 0.871 0.868
Ge 0.250 0.129 0.132
Ge 0.250 0.371 0.632

---

Entry 5:
Computed, not measured: Er2SiGe after structural relaxation at the PBE-GGA level of DFT.

Properties
E_tot: -5.622 eV/atom
Formation energy (no corrections): -0.8304 eV per atom

abc: 3.873 5.676 8.474
angles: 111.96 90.00 90.00
Atoms (fractional coordinates):
Si 0.250 0.337 0.709
Si 0.750 0.663 0.291
Er 0.250 0.780 0.568
Er 0.750 0.223 0.928
Er 0.750 0.220 0.432
Er 0.250 0.777 0.072
Ge 0.250 0.336 0.209
Ge 0.750 0.664 0.791

---

Entry 6:
Computed, not measured: Er2SiGe after structural relaxation at the PBE-GGA level of DFT.

Properties
E_tot: -5.618 eV/atom
Formation energy (no corrections): -0.8263 eV per atom

abc: 5.671 5.671 3.889
angles: 90.00 90.00 136.29
Atoms (fractional coordinates):
Si 0.582 0.418 0.000
Er 0.860 0.140 0.000
Er 0.139 0.861 0.500
Ge 0.419 0.581 0.500

---

Entry 7:
Computed, not measured: Er2SiGe2 after structural relaxation at the PBE-GGA level of DFT.

Properties
E_tot: -5.376 eV/atom
Formation energy (no corrections): -0.6193 eV per atom

abc: 4.229 5.714 9.511
angles: 93.19 102.77 111.78
Atoms (fractional coordinates):
Si 0.628 0.939 0.319
Si 0.372 0.061 0.681
Ge 0.652 0.199 0.105
Ge 0.912 0.275 0.549
Ge 0.348 0.801 0.895
Ge 0.088 0.725 0.451
Er 0.934 0.754 0.115
Er 0.658 0.635 0.680
Er 0.066 0.246 0.885
Er 0.342 0.365 0.320

---

Entry 8:
Computed, not measured: ErSiGe after structural relaxation at the PBE-GGA level of DFT.

Properties
E_tot: -5.439 eV/atom
Formation energy (no corrections): -0.5716 eV per atom
Polymorph energy (0 for the lowest one): 0.0000 eV per atom

abc: 3.808 3.999 8.230
angles: 104.06 90.00 90.00
Atoms (fractional coordinates):
Er 0.250 0.102 0.205
Er 0.750 0.898 0.795
Ge 0.250 0.746 0.491
Ge 0.750 0.254 0.509
Si 0.250 0.454 0.908
Si 0.750 0.546 0.092

---

Entry 9:
Computed, not measured: Er5Si6Ge after structural relaxation at the PBE-GGA level of DFT.

Properties
E_tot: -5.562 eV/atom
Formation energy (no corrections): -0.5647 eV per atom

abc: 5.449 7.005 8.049
angles: 108.46 100.73 110.49
Atoms (fractional coordinates):
Er 0.688 0.688 0.377
Er 0.386 0.886 0.772
Er 0.000 0.500 0.000
Er 0.312 0.312 0.623
Er 0.614 0.114 0.228
Si 0.423 0.320 0.000
Si 0.738 0.122 0.607
Si 0.262 0.878 0.393
Si 0.577 0.680 0.000
Si 0.132 0.515 0.393
Si 0.868 0.485 0.607
Ge 0.000 0.000 0.000

---

Entry 10:
Computed, not measured: ErSiGe after structural relaxation at the PBE-GGA level of DFT.

Properties
E_tot: -5.339 eV/atom
Formation energy (no corrections): -0.4715 eV per atom
Polymorph energy (0 for the lowest one): 0.1000 eV per atom

abc: 3.863 5.943 5.943
angles: 85.42 71.03 71.03
Atoms (fractional coordinates):
Er 0.748 0.752 0.752
Er 0.252 0.248 0.248
Si 0.000 0.147 0.853
Si 0.000 0.853 0.147
Ge 0.500 0.668 0.332
Ge 0.500 0.332 0.668

---

Entry 11:
Computed, not measured: ErSiGe2 after structural relaxation at the PBE-GGA level of DFT.

Properties
E_tot: -5.100 eV/atom
Formation energy (no corrections): -0.2953 eV per atom

abc: 4.129 4.304 4.304
angles: 90.00 90.00 90.00
Atoms (fractional coordinates):
Er 0.500 0.000 0.000
Si 0.500 0.500 0.500
Ge 0.000 0.000 0.500
Ge 0.000 0.500 0.000

---

Entry 12:
Computed, not measured: Er5Si5Ge2 after structural relaxation at the PBE-GGA level of DFT.

Properties
E_tot: -5.520 eV/atom
Formation energy (no corrections): -0.5897 eV per atom

abc: 4.058 7.435 8.756
angles: 87.73 76.60 74.16
Atoms (fractional coordinates):
Er 0.366 0.926 0.342
Er 0.681 0.708 0.930
Er 0.000 0.500 0.500
Er 0.634 0.074 0.658
Er 0.319 0.292 0.070
Si 0.000 0.000 0.000
Si 0.945 0.289 0.821
Si 0.055 0.711 0.179
Si 0.273 0.790 0.664
Si 0.727 0.210 0.336
Ge 0.615 0.527 0.243
Ge 0.385 0.473 0.757